No. 1
Computed, not measured: Pu5PtAu3 after structural relaxation at the PBE level of DFT.

Cell lengths 5.9127, 9.2362, 9.2362 Å; angles 120.00, 90.00, 90.00 degrees
Closest atoms and distances in Å follow each position.
Positions (direct):
Pu 0.0000 0.3333 0.6667  2 Pu 2.96, 6 Au 3.21
Pu 0.5000 0.6667 0.3333  2 Pu 2.96, 6 Au 3.21
Pu 0.0000 0.6667 0.3333  2 Pu 2.96, 6 Au 3.21
Pu 0.5000 0.3333 0.6667  2 Pu 2.96, 6 Au 3.21
Pu 0.7500 0.7292 0.0000  2 Pt 2.90, 5 Au 3.12-3.21
Pu 0.7500 0.2708 0.2708  2 Pt 2.90, 5 Au 3.12-3.21
Pu 0.7500 0.0000 0.7292  2 Pt 2.90, 5 Au 3.12-3.21
Pu 0.2500 0.2708 0.0000  2 Pt 2.90, 5 Au 3.12-3.21
Pu 0.2500 0.7292 0.7292  2 Pt 2.90, 5 Au 3.12-3.21
Pu 0.2500 0.0000 0.2708  2 Pt 2.90, 5 Au 3.12-3.21
Pt 0.0000 0.0000 0.0000  6 Pu 2.90, 2 Pt 2.96
Pt 0.5000 0.0000 0.0000  6 Pu 2.90, 2 Pt 2.96
Au 0.7500 0.3917 0.0000  9 Pu 3.12-3.21
Au 0.7500 0.6083 0.6083  9 Pu 3.12-3.21
Au 0.7500 0.0000 0.3917  9 Pu 3.12-3.21
Au 0.2500 0.6083 0.0000  9 Pu 3.12-3.21
Au 0.2500 0.3917 0.3917  9 Pu 3.12-3.21
Au 0.2500 0.0000 0.6083  9 Pu 3.12-3.21

## Properties
- ΔE_f (eV/f.u.) = -3.84
- M_tot (μB per cell) = 59.5
- calculated total energy (eV per atom) = -10.15
- space group = P6_3/mcm, No. 193

No. 2
Computed, not measured: Li2TlBr after structural relaxation at the PBE level of DFT.

Cell lengths 7.3966, 7.3966, 6.3210 Å; angles 54.19, 54.19, 90.00 degrees
Closest atoms and distances in Å follow each position.
Positions (direct):
Tl 0.0000 0.0000 0.0000  4 Li 3.02
Tl 0.7500 0.2500 0.5000  4 Li 3.02
Br 0.5000 0.5000 0.0000  4 Li 2.53
Br 0.2500 0.7500 0.5000  4 Li 2.53
Li 0.5749 0.1250 0.2500  2 Br 2.53
Li 0.1751 0.6250 0.2500  2 Br 2.53
Li 0.3750 0.4251 0.7500  2 Br 2.53
Li 0.8750 0.8249 0.7500  2 Br 2.53

## Properties
- formation energy (no corrections) (eV per atom) = -0.61
- M_tot (μB per cell) = 0.0
- calculated total energy (eV per atom) = -2.57
- space group = I-42d, No. 122

No. 3
Computed, not measured: PuHf2 after structural relaxation at the PBE level of DFT.

Cell lengths 3.1587, 3.1587, 7.2876 Å; angles 102.52, 102.52, 90.00 degrees
Closest atoms and distances in Å follow each position.
Positions (direct):
Hf 0.6718 0.6718 0.3436  8 Hf 3.11-3.16, 4 Pu 3.27
Hf 0.3282 0.3282 0.6564  8 Hf 3.11-3.16, 4 Pu 3.27
Pu 0.0000 0.0000 0.0000  4 Pu 3.16, 8 Hf 3.27

## Properties
- ΔE_f (eV/f.u.) = 0.32
- M_tot (μB per cell) = 5.5
- calculated total energy (eV per atom) = -11.31
- space group = I4/mmm, No. 139

No. 4
Computed, not measured: Ca2MgCuGe after structural relaxation at the PBE level of DFT.

Cell lengths 5.5829, 4.4693, 5.5829 Å; angles 90.00, 90.00, 90.00 degrees
Closest atoms and distances in Å follow each position.
Positions (direct):
Mg 0.5000 0.5000 0.5000  8 Ca 3.58, 4 Ge 3.95
Ge 0.0000 0.5000 0.0000  2 Cu 2.23
Ca 0.0000 0.0000 0.5000  2 Cu 2.79
Ca 0.5000 0.0000 0.0000  2 Cu 2.79
Cu 0.0000 0.0000 0.0000  2 Ge 2.23

## Properties
- ΔE_f (eV/f.u.) = -0.44
- M_tot (μB per cell) = 0.0
- calculated total energy (eV per atom) = -2.95
- space group = P4/mmm, No. 123

No. 5
Computed, not measured: Er2NbO after structural relaxation at the PBE level of DFT.

Cell lengths 3.2342, 3.2342, 8.9033 Å; angles 79.54, 79.54, 60.00 degrees
Closest atoms and distances in Å follow each position.
Positions (direct):
Nb 0.0000 0.0000 0.0000  2 Er 2.92, 6 Nb 3.23
O 0.5000 0.5000 0.5000  6 Er 2.35
Er 0.1119 0.1119 0.6644  3 O 2.35
Er 0.8881 0.8881 0.3356  3 O 2.35

## Properties
- formation energy (no corrections) (eV per atom) = -0.88
- M_tot (μB per cell) = 0.8
- calculated total energy (eV per atom) = -6.92
- space group = R-3m, No. 166

No. 6
Computed, not measured: Nd2NiSe after structural relaxation at the PBE level of DFT.

Cell lengths 4.0552, 4.0552, 7.6208 Å; angles 74.57, 74.57, 60.00 degrees
Closest atoms and distances in Å follow each position.
Positions (direct):
Ni 0.0000 0.0000 0.0000  6 Nd 2.86
Nd 0.2575 0.2575 0.2276  3 Ni 2.86, 3 Se 3.06
Nd 0.7425 0.7425 0.7724  3 Ni 2.86, 3 Se 3.06
Se 0.5000 0.5000 0.5000  6 Nd 3.06

## Properties
- formation energy (no corrections) (eV per atom) = -0.98
- M_tot (μB per cell) = 0.0
- calculated total energy (eV per atom) = -5.68
- space group = R-3m, No. 166

No. 7
Computed, not measured: ZnAs2SeI after structural relaxation at the PBE level of DFT.

Cell lengths 5.4933, 5.4933, 5.3566 Å; angles 90.00, 90.00, 90.00 degrees
Closest atoms and distances in Å follow each position.
Positions (direct):
I 0.0000 0.0000 0.0000  2 Se 2.68, 4 As 2.75
As 0.0000 0.5000 0.0000  2 I 2.75
As 0.5000 0.0000 0.0000  2 I 2.75
Zn 0.5000 0.5000 0.5000  8 As 3.84, 4 Se 3.88
Se 0.0000 0.0000 0.5000  2 I 2.68

## Properties
- formation energy (no corrections) (eV per atom) = 1.19
- M_tot (μB per cell) = 1.3
- calculated total energy (eV per atom) = -1.93
- space group = P4/mmm, No. 123

No. 8
Computed, not measured: Ti3InI after structural relaxation at the PBE level of DFT.

Cell lengths 4.9915, 4.9915, 4.9915 Å; angles 90.00, 90.00, 90.00 degrees
Closest atoms and distances in Å follow each position.
Positions (direct):
I 0.0000 0.0000 0.0000  6 Ti 2.50
Ti 0.0000 0.5000 0.0000  2 I 2.50
Ti 0.0000 0.0000 0.5000  2 I 2.50
Ti 0.5000 0.0000 0.0000  2 I 2.50
In 0.5000 0.5000 0.5000  12 Ti 3.53

## Properties
- formation energy (no corrections) (eV per atom) = 0.83
- M_tot (μB per cell) = 3.7
- calculated total energy (eV per atom) = -4.76
- space group = Pm-3m, No. 221

No. 9
Computed, not measured: ScBiH2 after structural relaxation at the PBE level of DFT.

Cell lengths 3.3226, 6.2010, 5.9246 Å; angles 90.00, 90.00, 105.60 degrees
Closest atoms and distances in Å follow each position.
Positions (direct):
Sc 0.7668 0.5336 0.7500  6 H 2.03-2.04
Sc 0.2332 0.4664 0.2500  6 H 2.03-2.04
Bi 0.9585 0.9167 0.2500  8 H 3.12-3.49, 4 Bi 3.12-3.32, 3 Sc 3.16-3.28
Bi 0.0415 0.0833 0.7500  8 H 3.12-3.49, 4 Bi 3.12-3.32, 3 Sc 3.16-3.28
H 0.3020 0.6034 0.5638  3 Sc 2.03-2.04, 3 H 2.20-2.21
H 0.6980 0.3966 0.4362  3 Sc 2.03-2.04, 3 H 2.20-2.21
H 0.3020 0.6034 0.9362  3 Sc 2.03-2.04, 3 H 2.20-2.21
H 0.6980 0.3966 0.0638  3 Sc 2.03-2.04, 3 H 2.20-2.21

## Properties
- M_tot (μB per cell) = 0.0
- calculated total energy (eV per atom) = -4.71
- space group = Cmcm, No. 63

No. 10
Computed, not measured: Tl3Cd4Bi4 after structural relaxation at the PBE level of DFT.

Cell lengths 4.4754, 8.4864, 10.1352 Å; angles 114.75, 102.76, 90.00 degrees
Closest atoms and distances in Å follow each position.
Positions (direct):
Tl 0.1158 0.1158 0.2316  6 Cd 3.40-3.44, 4 Bi 3.50
Tl 0.8842 0.8842 0.7684  6 Cd 3.40-3.44, 4 Bi 3.50
Tl 0.0000 0.5000 0.0000  4 Cd 3.54, 8 Bi 3.94
Cd 0.2377 0.7377 0.4754  6 Bi 3.13-3.21, 2 Tl 3.44
Cd 0.7623 0.2623 0.5246  6 Bi 3.13-3.21, 2 Tl 3.44
Cd 0.5000 0.8230 0.0000  1 Cd 3.00, 2 Bi 3.01
Cd 0.5000 0.1770 0.0000  1 Cd 3.00, 2 Bi 3.01
Bi 0.3433 0.1491 0.6865  4 Cd 3.01-3.21, 1 Bi 3.29
Bi 0.6567 0.4626 0.3135  4 Cd 3.01-3.21, 1 Bi 3.29
Bi 0.6567 0.8509 0.3135  4 Cd 3.01-3.21, 1 Bi 3.29
Bi 0.3433 0.5374 0.6865  4 Cd 3.01-3.21, 1 Bi 3.29

## Properties
- ΔE_f (eV/f.u.) = 0.75
- M_tot (μB per cell) = 0.0
- calculated total energy (eV per atom) = -2.32
- space group = Immm, No. 71

No. 11
Computed, not measured: Ba2NiAgTe after structural relaxation at the PBE level of DFT.

Cell lengths 5.9201, 5.9201, 4.8384 Å; angles 90.00, 90.00, 90.00 degrees
Closest atoms and distances in Å follow each position.
Positions (direct):
Ni 0.0000 0.0000 0.0000  2 Ag 2.42
Te 0.5000 0.5000 0.5000  8 Ba 3.82, 4 Ag 4.19
Ba 0.0000 0.5000 0.0000  2 Ni 2.96
Ba 0.5000 0.0000 0.0000  2 Ni 2.96
Ag 0.0000 0.0000 0.5000  2 Ni 2.42

## Properties
- formation energy (no corrections) (eV per atom) = -0.53
- M_tot (μB per cell) = 0.0
- calculated total energy (eV per atom) = -3.66
- space group = P4/mmm, No. 123

No. 12
Computed, not measured: CaSbRh2O6 after structural relaxation at the PBE level of DFT.

Cell lengths 5.4345, 5.4334, 5.7946 Å; angles 62.00, 62.00, 60.01 degrees
Closest atoms and distances in Å follow each position.
Positions (direct):
Ca 0.8056 0.8056 0.5833  6 O 2.28-2.43
Sb 0.3156 0.3153 0.0536  6 O 2.09-2.10
Rh 0.5155 0.5156 0.4535  6 O 2.13-2.15
Rh 0.0120 0.0119 0.9641  6 O 2.09-2.12
O 0.6200 0.2438 0.2247  1 Sb 2.10, 2 Rh 2.12-2.13
O 0.2438 0.9113 0.2247  1 Sb 2.10, 2 Rh 2.12-2.13
O 0.9113 0.6201 0.2248  1 Sb 2.10, 2 Rh 2.12-2.13
O 0.3776 0.7109 0.7622  2 Rh 2.09-2.15, 1 Sb 2.09, 1 Ca 2.28
O 0.7108 0.1494 0.7620  2 Rh 2.09-2.15, 1 Sb 2.09, 1 Ca 2.28
O 0.1493 0.3777 0.7623  2 Rh 2.09-2.15, 1 Sb 2.09, 1 Ca 2.28

## Properties
- formation energy (no corrections) (eV per atom) = -1.34
- M_tot (μB per cell) = 0.0
- calculated total energy (eV per atom) = -6.40
- space group = R3, No. 146